The following is a PBE calculation of a relaxed structure of YTaSb, from the Alexandria database.

It has space group P4/nmm (No. 129, origin choice 2), with a = 3.611 Å, b = 3.611 Å, c = 10.891 Å, α = 90.00°, β = 90.00° and γ = 90.00°. The distinct sites, in fractional coordinates, are Y at (0.250, 0.250, 0.113), Ta at (0.250, 0.250, 0.432) and Sb at (0.250, 0.250, 0.703).

Its formation energy without anion corrections is -23.2 kJ per mole of atoms. The calculation puts the total moment at 0.186 μB per formula unit. The calculation puts the raw total energy at -7.72 eV per atom. As for the density of states at the Fermi level: 5.51 states/eV per cell.

The following is a PBE calculation of a relaxed structure of YTaSb, from the Alexandria database.

It has space group C2/m (No. 12), with a = 10.943 Å, b = 3.838 Å, c = 7.920 Å, α = 90.00°, β = 119.25° and γ = 90.00°. The distinct sites, in fractional coordinates, are Y at (0.055, 0.000, 0.312), Ta at (0.143, 0.500, 0.037) and Sb at (0.173, 0.500, 0.693).

Its formation energy without anion corrections is -34.7 kJ per mole of atoms. The calculation puts the total moment at 0.000 μB per formula unit. The calculation puts the raw total energy at -7.84 eV per atom. As for the density of states at the Fermi level: 6.21 states/eV per cell.

The following is a PBE calculation of a relaxed structure of YTaSb, from the Alexandria database.

It has space group Cm (No. 8), with a = 8.909 Å, b = 3.947 Å, c = 8.942 Å, α = 90.00°, β = 101.64° and γ = 90.00°. The distinct sites, in fractional coordinates, are Y at (0.000, 0.000, 0.000), Y at (0.070, 0.000, 0.404), Ta at (0.034, 0.500, 0.713), Ta at (0.259, 0.000, 0.816), Sb at (0.306, 0.500, 0.587) and Sb at (0.334, 0.000, 0.183).

Its formation energy without anion corrections is -25.7 kJ per mole of atoms. The calculation puts the total moment at 0.000 μB per formula unit. The calculation puts the raw total energy at -7.75 eV per atom. As for the density of states at the Fermi level: 6.63 states/eV per cell.

The following is a PBE calculation of a relaxed structure of Y2TaSb2, from the Alexandria database.

It has space group P4/mbm (No. 127), with a = 7.521 Å, b = 7.521 Å, c = 4.384 Å, α = 90.00°, β = 90.00° and γ = 90.00°. The distinct sites, in fractional coordinates, are Y at (0.167, 0.333, 0.000), Ta at (0.000, 0.000, 0.500) and Sb at (0.144, 0.644, 0.500).

Its formation energy without anion corrections is -50.0 kJ per mole of atoms. The calculation puts the total moment at 0.000 μB per formula unit. The calculation puts the raw total energy at -7.12 eV per atom. As for the density of states at the Fermi level: 8.91 states/eV per cell.

The following is a PBE calculation of a relaxed structure of YTaSb, from the Alexandria database.

It has space group P3m1 (No. 156), with a = 3.6345 Å, b = 3.6345 Å, c = 6.5844 Å, α = 90.00°, β = 90.00° and γ = 120.00°. The distinct sites, in fractional coordinates, are Y at (0.0000, 0.0000, 0.0000), Ta at (0.3333, 0.6667, 0.6380) and Sb at (0.6667, 0.3333, 0.3593).

Its formation energy without anion corrections is 5.3 kJ per mole of atoms. The calculation puts the total moment at 0.000 μB per formula unit. The calculation puts the raw total energy at -7.42 eV per atom. As for the density of states at the Fermi level: 2.93 states/eV per cell.

The following is a PBE calculation of a relaxed structure of YTaSb, from the Alexandria database.

It has space group I4mm (No. 107), with a = 3.645 Å, b = 3.645 Å, c = 10.678 Å, α = 90.00°, β = 90.00° and γ = 90.00°. The distinct sites, in fractional coordinates, are Y at (0.000, 0.000, 0.000), Ta at (0.000, 0.000, 0.313) and Sb at (0.000, 0.000, 0.694).

Its formation energy without anion corrections is -16.8 kJ per mole of atoms. The calculation puts the total moment at 0.001 μB per formula unit. The calculation puts the raw total energy at -7.65 eV per atom. As for the density of states at the Fermi level: 5.26 states/eV per cell.

The following is a PBE calculation of a relaxed structure of YTaSb, from the Alexandria database.

It has space group P2_1/m (No. 11), with a = 3.221 Å, b = 5.119 Å, c = 8.866 Å, α = 90.00°, β = 93.63° and γ = 90.00°. The distinct sites, in fractional coordinates, are Y at (0.120, 0.250, 0.259), Ta at (0.372, 0.750, 0.056) and Sb at (0.306, 0.250, 0.639).

Its formation energy without anion corrections is -18.8 kJ per mole of atoms. The calculation puts the total moment at 0.000 μB per formula unit. The calculation puts the raw total energy at -7.67 eV per atom. As for the density of states at the Fermi level: 4.67 states/eV per cell.

The following is a PBE calculation of a relaxed structure of Y3TaSb, from the Alexandria database.

It has space group Pm-3m (No. 221), with a = 5.425 Å, b = 5.425 Å, c = 5.425 Å, α = 90.00°, β = 90.00° and γ = 90.00°. The distinct sites, in fractional coordinates, are Y at (0.000, 0.000, 0.500), Ta at (0.000, 0.000, 0.000) and Sb at (0.500, 0.500, 0.500).

Its formation energy without anion corrections is 43.9 kJ per mole of atoms. The calculation puts the total moment at 0.000 μB per formula unit. The calculation puts the raw total energy at -6.62 eV per atom. As for the density of states at the Fermi level: 4.54 states/eV per cell.

The following is a PBE calculation of a relaxed structure of YTaSb, from the Alexandria database.

It has space group Pm (No. 6), with a = 3.725 Å, b = 4.411 Å, c = 8.956 Å, α = 90.00°, β = 90.27° and γ = 90.00°. The distinct sites, in fractional coordinates, are Y at (0.000, 0.000, 0.000), Y at (0.490, 0.000, 0.635), Ta at (0.486, 0.500, 0.259), Ta at (0.981, 0.000, 0.320), Sb at (0.498, 0.500, 0.904) and Sb at (0.989, 0.500, 0.520).

Its formation energy without anion corrections is -26.8 kJ per mole of atoms. The calculation puts the total moment at 0.146 μB per formula unit. The calculation puts the raw total energy at -7.76 eV per atom. As for the density of states at the Fermi level: 4.72 states/eV per cell.

The following is a PBE calculation of a relaxed structure of YTaSb, from the Alexandria database.

It has space group Cm (No. 8), with a = 10.822 Å, b = 3.682 Å, c = 7.417 Å, α = 90.00°, β = 98.00° and γ = 90.00°. The distinct sites, in fractional coordinates, are Y at (0.000, 0.000, 0.000), Y at (0.229, 0.500, 0.345), Ta at (0.055, 0.000, 0.582), Ta at (0.368, 0.000, 0.666), Sb at (0.208, 0.500, 0.849) and Sb at (0.447, 0.000, 0.308).

Its formation energy without anion corrections is -26.0 kJ per mole of atoms. The calculation puts the total moment at 0.000 μB per formula unit. The calculation puts the raw total energy at -7.75 eV per atom. As for the density of states at the Fermi level: 10.07 states/eV per cell.

The following is a PBE calculation of a relaxed structure of Y4TaSb, from the Alexandria database.

It has space group F-43m (No. 216), with a = 8.704 Å, b = 8.704 Å, c = 8.704 Å, α = 90.00°, β = 90.00° and γ = 90.00°. The distinct sites, in fractional coordinates, are Y at (0.123, 0.123, 0.377), Ta at (0.250, 0.250, 0.750) and Sb at (0.000, 0.000, 0.000).

Its formation energy without anion corrections is 55.3 kJ per mole of atoms. The calculation puts the total moment at 0.000 μB per formula unit. The calculation puts the raw total energy at -6.40 eV per atom. As for the density of states at the Fermi level: 29.19 states/eV per cell.

The following is a PBE calculation of a relaxed structure of YTa3Sb, from the Alexandria database.

It has space group Pm-3m (No. 221), with a = 4.981 Å, b = 4.981 Å, c = 4.981 Å, α = 90.00°, β = 90.00° and γ = 90.00°. The distinct sites, in fractional coordinates, are Y at (0.000, 0.000, 0.000), Ta at (0.000, 0.000, 0.500) and Sb at (0.500, 0.500, 0.500).

Its formation energy without anion corrections is 214.1 kJ per mole of atoms. The calculation puts the total moment at 0.000 μB per formula unit. The calculation puts the raw total energy at -7.01 eV per atom. As for the density of states at the Fermi level: 6.37 states/eV per cell.